1.
A relaxed structure of AcTbYSc, computed with PBE-GGA.

ρ	6.483	g cm⁻³
ΔE_f	0.189	eV/atom
Fermi-level density of states	8.46	states/eV/cell

Unit cell a=5.731 b=5.731 c=5.731 alpha=60.00 beta=60.00 gamma=60.00
Sites, in units of the cell vectors:
Ac1 0.000 0.000 0.000
Tb1 0.750 0.750 0.750
Y1 0.250 0.250 0.250
Sc1 0.500 0.500 0.500

2.
A relaxed structure of LaHo2ErS6, computed with PBE-GGA.

ρ	5.274	g cm⁻³
electronic total energy	-6.4200	eV per atom
Fermi-level density of states	0.00	states/eV/cell

Unit cell a=7.371 b=7.371 c=7.371 alpha=56.59 beta=56.59 gamma=56.59
Sites, in units of the cell vectors:
La1 0.000 0.000 0.000
Ho1 0.288 0.288 0.288
Ho2 0.793 0.793 0.793
Er1 0.490 0.490 0.490
S1 0.085 0.665 0.419
S2 0.194 0.582 0.891
S3 0.419 0.085 0.665
S4 0.582 0.891 0.194
S5 0.665 0.419 0.085
S6 0.891 0.194 0.582

3.
A relaxed structure of Co4B3, computed with PBE-GGA.

ρ	7.334	g cm⁻³
ΔE_f	-0.196	eV/atom
Fermi-level density of states	4.31	states/eV/cell

Unit cell a=7.092 b=7.092 c=7.092 alpha=26.07 beta=26.07 gamma=26.07
Sites, in units of the cell vectors:
Co1 0.123 0.123 0.123
Co2 0.296 0.296 0.296
Co3 0.704 0.704 0.704
Co4 0.877 0.877 0.877
B1 0.406 0.406 0.406
B2 0.500 0.500 0.500
B3 0.594 0.594 0.594

4.
A relaxed structure of Pm3DySc2Te6, computed with PBE-GGA.

ρ	6.911	g cm⁻³
electronic total energy	-5.4763	eV per atom
Fermi-level density of states	6.94	states/eV/cell

Unit cell a=9.761 b=9.761 c=8.778 alpha=104.00 beta=104.00 gamma=25.53
Sites, in units of the cell vectors:
Pm1 0.000 0.000 0.000
Pm2 0.338 0.338 0.671
Pm3 0.662 0.662 0.329
Dy1 0.000 0.000 0.500
Sc1 0.334 0.334 0.168
Sc2 0.666 0.666 0.832
Te1 0.167 0.167 0.598
Te2 0.172 0.172 0.069
Te3 0.492 0.492 0.252
Te4 0.508 0.508 0.748
Te5 0.828 0.828 0.931
Te6 0.833 0.833 0.402

5.
A relaxed structure of La3Tb3Sm4, computed with PBE-GGA.

ρ	7.074	g cm⁻³
ΔE_f	0.086	eV/atom
Fermi-level density of states	12.55	states/eV/cell

Unit cell a=3.803 b=9.607 c=9.607 alpha=90.23 beta=90.00 gamma=90.00
Sites, in units of the cell vectors:
La1 0.000 0.000 0.000
La2 0.500 0.175 0.666
La3 0.500 0.666 0.175
Tb1 0.000 0.344 0.344
Tb2 0.000 0.500 0.841
Tb3 0.000 0.841 0.500
Sm1 0.500 0.048 0.302
Sm2 0.500 0.302 0.048
Sm3 0.500 0.545 0.545
Sm4 0.500 0.795 0.795

6.
A relaxed structure of Pm5Co2I, computed with PBE-GGA.

ρ	7.502	g cm⁻³
electronic total energy	-5.1850	eV per atom
Fermi-level density of states	14.73	states/eV/cell

Unit cell a=8.943 b=8.943 c=8.943 alpha=128.20 beta=128.20 gamma=76.30
Sites, in units of the cell vectors:
Pm1 0.000 0.000 0.000
Pm2 0.024 0.524 0.806
Pm3 0.219 0.024 0.500
Pm4 0.281 0.781 0.806
Pm5 0.476 0.281 0.500
Pm6 0.500 0.500 0.000
Pm7 0.524 0.719 0.500
Pm8 0.719 0.219 0.194
Pm9 0.781 0.976 0.500
Pm10 0.976 0.476 0.194
Co1 0.144 0.356 0.500
Co2 0.356 0.856 0.213
Co3 0.644 0.144 0.787
Co4 0.856 0.644 0.500
I1 0.250 0.250 0.000
I2 0.750 0.750 0.000

What did the sixth record say?
A relaxed structure of Pm5Co2I, computed with PBE-GGA.

ρ	7.502	g cm⁻³
electronic total energy	-5.1850	eV per atom
Fermi-level density of states	14.73	states/eV/cell

Unit cell a=8.943 b=8.943 c=8.943 alpha=128.20 beta=128.20 gamma=76.30
Sites, in units of the cell vectors:
Pm1 0.000 0.000 0.000
Pm2 0.024 0.524 0.806
Pm3 0.219 0.024 0.500
Pm4 0.281 0.781 0.806
Pm5 0.476 0.281 0.500
Pm6 0.500 0.500 0.000
Pm7 0.524 0.719 0.500
Pm8 0.719 0.219 0.194
Pm9 0.781 0.976 0.500
Pm10 0.976 0.476 0.194
Co1 0.144 0.356 0.500
Co2 0.356 0.856 0.213
Co3 0.644 0.144 0.787
Co4 0.856 0.644 0.500
I1 0.250 0.250 0.000
I2 0.750 0.750 0.000